KLuTe3As: optimized geometry, PBE-GGA.

Values from the calculation:
Magnetization ... 0.30 Bohr magnetons per cell
E_tot ... -3.953 eV per atom

Geometry as extended XYZ:
```
12
Lattice="2.173 -8.342 0.000 2.173 8.342 0.000 0.000 0.000 11.265" Properties=species:S:1:pos:R:3 pbc="T T T"
Lu 0.000 0.000 5.632
K 2.173 4.368 8.448
K 2.173 -4.368 2.816
As 2.173 0.762 2.816
Te 2.173 -2.136 6.061
Te 2.173 -6.913 8.448
Lu 0.000 0.000 0.000
Te 2.173 -2.136 10.836
Te 2.173 2.136 5.204
Te 2.173 2.136 0.429
Te 2.173 6.913 2.816
As 2.173 -0.762 8.448
```


GdTmIn2Pd4: optimized geometry, PBE-GGA.

Values from the calculation:
Magnetization ... 0.00 Bohr magnetons per cell
E_tot ... -5.235 eV per atom

Geometry as extended XYZ:
```
8
Lattice="4.591 0.000 0.000 -2.296 3.976 0.000 0.000 0.000 8.904" Properties=species:S:1:pos:R:3 pbc="T T T"
Pd 2.296 1.325 5.884
Tm 0.000 2.651 4.452
Pd 0.000 2.651 1.484
Pd 0.000 2.651 7.420
Pd 2.296 1.325 3.020
In 0.000 0.000 2.256
Gd 2.296 1.325 0.000
In 0.000 0.000 6.649
```


SmAgW: optimized geometry, PBE-GGA.

Values from the calculation:
Magnetization ... 3.07 Bohr magnetons per cell
Energy of formation from the pure elements ... 1.5650 eV per atom

Geometry as extended XYZ:
```
3
Lattice="0.000 3.404 3.404 3.404 0.000 3.404 3.404 3.404 0.000" Properties=species:S:1:pos:R:3 pbc="T T T"
W 5.107 5.107 5.107
Ag 1.702 1.702 1.702
Sm 0.000 0.000 0.000
```


Pr2SiGe: optimized geometry, PBE-GGA.

Values from the calculation:
Magnetization ... 0.03 Bohr magnetons per cell
E_tot ... -5.684 eV per atom

Geometry as extended XYZ:
```
8
Lattice="6.640 0.000 0.000 0.000 2.252 6.764 0.000 -2.252 6.764" Properties=species:S:1:pos:R:3 pbc="T T T"
Si 2.077 0.000 12.230
Pr 3.320 0.000 3.745
Pr 0.000 0.000 6.069
Pr 0.000 0.000 9.827
Ge 1.312 0.000 1.295
Pr 3.320 0.000 7.419
Si 4.564 0.000 12.230
Ge 5.328 0.000 1.295
```


Zr2InSbPt2: optimized geometry, PBE-GGA.

Values from the calculation:
Magnetization ... 0.00 Bohr magnetons per cell
E_tot ... -6.963 eV per atom

Geometry as extended XYZ:
```
12
Lattice="-5.621 -3.045 0.030 2.906 -5.382 -1.859 -0.443 -5.842 5.230" Properties=species:S:1:pos:R:3 pbc="T T T"
Sb -1.358 -4.213 -0.915
Pt -3.245 -4.066 1.084
Zr -0.892 -5.042 2.212
Zr 1.002 -8.519 4.247
Pt 0.987 -5.176 0.160
Sb -3.711 -6.550 2.173
Zr 0.103 -6.919 -1.790
Pt -2.677 -11.739 2.322
Zr -2.266 -9.227 1.189
Pt -1.381 -7.558 3.237
In 0.552 -7.719 1.228
In 0.000 0.000 0.000
```


Tm2ScCu4Si4: optimized geometry, PBE-GGA.

Values from the calculation:
Magnetization ... 0.01 Bohr magnetons per cell
E_tot ... -5.332 eV per atom

Geometry as extended XYZ:
```
11
Lattice="-2.033 3.207 6.711 2.033 -3.207 6.711 2.033 3.207 -6.711" Properties=species:S:1:pos:R:3 pbc="T T T"
Si 0.000 1.981 6.711
Tm 0.000 0.000 1.724
Cu 0.000 1.236 8.991
Sc 0.000 3.207 0.000
Si 2.033 0.000 3.845
Tm 0.000 0.000 11.698
Si 2.033 1.225 0.000
Cu 2.033 1.970 2.280
Cu 2.033 1.970 -2.280
Cu 0.000 1.236 4.431
Si 0.000 3.207 2.865
```